[1]
## CuSiGeIr (PBE-GGA)

Data for a relaxed structure of CuSiGeIr.

Values from the calculation:
**M_tot**: 0.01 μB per cell
**Final energy**: -87.1 eV per cell

Cell lengths 6.124, 6.124, 6.124 Å; angles 90.00, 90.00, 90.00 degrees
Space group F-43m (No. 216)
Asymmetric unit:
1 Cu 0.000 0.000 0.000 x4
2 Si 0.000 0.000 0.500 x4
3 Ge 0.250 0.250 0.250 x4
4 Ir 0.250 0.250 0.750 x4

***

[2]
## CuSnGeIr (PBE-GGA)

Data for a relaxed structure of CuSnGeIr.

Values from the calculation:
**M_tot**: 0.00 μB per cell
**Final energy**: -82.9 eV per cell

Cell lengths 6.415, 6.415, 6.415 Å; angles 90.00, 90.00, 90.00 degrees
Space group F-43m (No. 216)
Asymmetric unit:
1 Cu 0.000 0.000 0.000 x4
2 Sn 0.250 0.250 0.250 x4
3 Ge 0.250 0.250 0.750 x4
4 Ir 0.000 0.000 0.500 x4

***

[3]
## SrCuGe2Ir (PBE-GGA)

Data for a relaxed structure of SrCuGe2Ir.

Values from the calculation:
**M_tot**: 0.01 μB per cell
**Final energy**: -51.3 eV per cell

Cell lengths 4.261, 4.261, 10.606 Å; angles 90.00, 90.00, 90.00 degrees
Space group I-4m2 (No. 119)
Asymmetric unit:
1 Sr 0.000 0.000 0.000 x2
2 Cu 0.000 0.500 0.250 x2
3 Ge 0.000 0.000 0.370 x4
4 Ir 0.000 0.500 0.750 x2

***

[4]
## TaCuGeIr (PBE-GGA)

Data for a relaxed structure of TaCuGeIr.

Values from the calculation:
**M_tot**: 0.01 μB per cell
**Final energy**: -117.2 eV per cell

Cell lengths 6.248, 6.248, 6.248 Å; angles 90.00, 90.00, 90.00 degrees
Space group F-43m (No. 216)
Asymmetric unit:
1 Ta 0.000 0.000 0.000 x4
2 Cu 0.250 0.250 0.750 x4
3 Ge 0.000 0.000 0.500 x4
4 Ir 0.250 0.250 0.250 x4

***

[5]
## TaCuGeIr (PBE-GGA)

Data for a relaxed structure of TaCuGeIr.

Values from the calculation:
**M_tot**: 0.00 μB per cell
**Final energy**: -117.6 eV per cell

Cell lengths 6.248, 6.248, 6.248 Å; angles 90.00, 90.00, 90.00 degrees
Space group F-43m (No. 216)
Asymmetric unit:
1 Ta 0.000 0.000 0.000 x4
2 Cu 0.000 0.000 0.500 x4
3 Ge 0.250 0.250 0.250 x4
4 Ir 0.250 0.250 0.750 x4

***

[6]
## CuTcGeIr (PBE-GGA)

Data for a relaxed structure of CuTcGeIr.

Values from the calculation:
**M_tot**: 0.16 μB per cell
**Final energy**: -107.5 eV per cell

Cell lengths 6.108, 6.108, 6.108 Å; angles 90.00, 90.00, 90.00 degrees
Space group F-43m (No. 216)
Asymmetric unit:
1 Cu 0.000 0.000 0.000 x4
2 Tc 0.000 0.000 0.500 x4
3 Ge 0.250 0.250 0.750 x4
4 Ir 0.250 0.250 0.250 x4

***

[7]
## YCuGeIr (PBE-GGA)

Data for a relaxed structure of YCuGeIr.

Values from the calculation:
**M_tot**: 0.00 μB per cell
**Final energy**: -96.9 eV per cell

Cell lengths 6.565, 6.565, 6.565 Å; angles 90.00, 90.00, 90.00 degrees
Space group F-43m (No. 216)
Asymmetric unit:
1 Y 0.000 0.000 0.000 x4
2 Cu 0.000 0.000 0.500 x4
3 Ge 0.250 0.250 0.250 x4
4 Ir 0.250 0.250 0.750 x4

***

[8]
## YCuGeIr (PBE-GGA)

Data for a relaxed structure of YCuGeIr.

Values from the calculation:
**M_tot**: 0.01 μB per cell
**Final energy**: -99.9 eV per cell

Cell lengths 6.507, 6.507, 6.507 Å; angles 90.00, 90.00, 90.00 degrees
Space group F-43m (No. 216)
Asymmetric unit:
1 Y 0.000 0.000 0.000 x4
2 Cu 0.250 0.250 0.750 x4
3 Ge 0.000 0.000 0.500 x4
4 Ir 0.250 0.250 0.250 x4